{"formula": "Ho4TmAu2", "functional": "PBE-GGA", "state": "optimized geometry", "magmom_total_mub_per_fu": 0.000, "n_ef_per_ev_cell": 8.71, "delta_e_f_ev_per_atom": -0.27, "lattice": [[2.471, 1.426, 9.835], [-2.471, 1.426, 9.835], [0.000, -2.853, 9.835]], "species": ["Ho", "Ho", "Ho", "Ho", "Tm", "Au", "Au"], "fractional_positions": [[0.103, 0.103, 0.103], [0.298, 0.298, 0.298], [0.702, 0.702, 0.702], [0.897, 0.897, 0.897], [0.500, 0.500, 0.500], [0.399, 0.399, 0.399], [0.601, 0.601, 0.601]]}